# 1
Material: MnSnIrPt
Method: DFT, PBE
State: optimized geometry

The space group is P3m1 (No. 156) and the conventional cell measures 3.8659, 3.8659 and 5.4568 Å, with angles of 90.00, 90.00 and 120.00 degrees. The inequivalent atoms are Mn at (0.0000, 0.0000, 0.0000), Sn at (0.6667, 0.3333, 0.7234), Ir at (0.3333, 0.6667, 0.1330) and Pt at (0.0000, 0.0000, 0.4581).

=====

# 2
Material: TcHI2O
Method: DFT, PBE
State: optimized geometry

The space group is P4/mmm (No. 123) and the conventional cell measures 5.348, 5.348 and 2.952 Å, with angles of 90.00, 90.00 and 90.00 degrees. The inequivalent atoms are Tc at (0.000, 0.000, 0.000), H at (0.500, 0.500, 0.500), I at (0.000, 0.500, 0.500) and O at (0.500, 0.500, 0.000).

The energy above the most stable polymorph in this dataset is 729 meV/atom.

=====

| no. | D(E_F) (states/eV/cell) | uncorrected energy (eV/f.u.) |
| --- | --- | --- |
| 1 | 0.24 | -27.76 |
| 2 | 3.67 | -17.35 |